No. 1
## NiGe4Pt (PBE-GGA)

Data for a geometry-optimized NiGe4Pt structure.

Results
Final energy, eV/atom: -5.102
Formation enthalpy at 0 K, eV per atom: -0.054

Cell lengths 4.9251, 7.8584, 6.3849 Å; angles 90.00, 110.34, 90.00 degrees
Last column: nearest neighbours and their distance in Å.
Space group P2_1/m (No. 11)
Unique sites:
Ni (0.1047, 0.2500, 0.4864) x2  6 Ge 2.37-2.61
Ge (0.0149, 0.5126, 0.2732) x4  2 Ni 2.43-2.61, 1 Pt 2.53, 2 Ge 2.55-2.57
Ge (0.3512, 0.2500, 0.9095) x2  2 Pt 2.48-2.65, 1 Ni 2.55, 2 Ge 2.57
Ge (0.3865, 0.7500, 0.4218) x2  1 Ni 2.37, 2 Ge 2.55
Pt (0.1133, 0.7500, 0.9709) x2  5 Ge 2.48-2.72, 1 Ni 2.74

---

No. 2
## SrTeRhO5 (PBE-GGA)

Data for a geometry-optimized SrTeRhO5 structure.

Results
Final energy, eV/atom: -5.919

Cell lengths 6.9558, 9.7896, 7.3657 Å; angles 90.00, 109.79, 90.00 degrees
Last column: nearest neighbours and their distance in Å.
Space group C2/c (No. 15)
Unique sites:
Sr (0.0000, 0.1713, 0.2500) x4  5 O 2.48-2.73
Te (0.0000, 0.1805, 0.7500) x4  4 O 1.97-2.02
Rh (0.0000, 0.5000, 0.0000) x4  6 O 1.98-2.10
O (0.0000, 0.4243, 0.2500) x4  2 Rh 1.98
O (0.1075, 0.3038, 0.5965) x8  1 Te 1.97, 1 Rh 2.10
O (0.1997, 0.0592, 0.9482) x8  1 Te 2.02, 1 Rh 2.08

---

No. 3
## CeI2Cl (PBE-GGA)

Data for a geometry-optimized CeI2Cl structure.

Results
Final energy, eV/atom: -4.367

Cell lengths 4.2507, 9.8963, 7.8154 Å; angles 90.00, 105.71, 90.00 degrees
Last column: nearest neighbours and their distance in Å.
Space group P2_1/m (No. 11)
Unique sites:
Ce (0.2437, 0.2500, 0.4876) x2  2 Cl 2.77
I (0.1450, 0.5611, 0.2890) x4  3 Ce 3.29-3.42
Cl (0.3741, 0.7500, 0.7491) x2  2 Ce 2.77

---

- Look up the final energy of the first one.
  -5.102 eV/atom